[1]
Here is crystalline BaFeI3 at its relaxed geometry from Alexandria via LeMat-Bulk. Energies are from PBE.

a b c (Å): 5.593 5.593 5.593
angles (deg): 90.00 90.00 90.00
Last column: magnetic moment on the atom in μB.
Sites, in units of the cell vectors:
I 0.000 0.500 0.000  0.04
I 0.000 0.000 0.500  0.03
I 0.500 0.000 0.000  0.04
Ba 0.500 0.500 0.500  -0.02
Fe 0.000 0.000 0.000  2.85

Results
Formation energy from raw total energies, eV per atom: -0.662
Total moment, μB per atom: 0.614


[2]
Here is crystalline SiNF at its relaxed geometry from Alexandria via LeMat-Bulk. Energies are from PBE.

a b c (Å): 2.602 2.602 3.714
angles (deg): 90.00 90.00 90.00
Sites, in units of the cell vectors:
Si 0.000 0.000 0.000
N 0.500 0.500 0.000
F 0.000 0.000 0.500

Results
Formation energy from raw total energies, eV per atom: -1.343
Total moment, μB per atom: 0.000


[3]
Here is crystalline MnVCoNi at its relaxed geometry from Alexandria via LeMat-Bulk. Energies are from PBE.

a b c (Å): 4.087 4.087 4.087
angles (deg): 60.00 60.00 60.00
Last column: magnetic moment on the atom in μB.
Sites, in units of the cell vectors:
Ni 0.500 0.500 0.500  0.48
Mn 0.250 0.250 0.250  3.22
Co 0.000 0.000 0.000  1.27
V 0.750 0.750 0.750  0.21

Results
Total moment, μB per atom: 1.326
ΔH_f (0 K), eV per atom: -0.04


[4]
Here is crystalline PrNd4Se7 at its relaxed geometry from Alexandria via LeMat-Bulk. Energies are from PBE.

a b c (Å): 4.118 7.275 12.549
angles (deg): 104.08 90.00 106.44
Sites, in units of the cell vectors:
Pr 0.887 0.775 0.579
Nd 0.700 0.400 0.812
Nd 0.300 0.601 0.189
Nd 0.000 0.001 0.000
Nd 0.113 0.225 0.421
Se 0.740 0.480 0.349
Se 0.258 0.515 0.650
Se 0.340 0.681 0.950
Se 0.660 0.321 0.050
Se 0.042 0.085 0.785
Se 0.958 0.917 0.216
Se 0.500 0.001 0.499

Results
Formation energy from raw total energies, eV per atom: -1.876
Total moment, μB per atom: 0.000


[5]
Here is crystalline Na2BeBr at its relaxed geometry from Alexandria via LeMat-Bulk. Energies are from PBE.

a b c (Å): 5.259 5.259 5.259
angles (deg): 60.00 60.00 60.00
Sites, in units of the cell vectors:
Na 0.250 0.250 0.250
Na 0.750 0.750 0.750
Br 0.500 0.500 0.500
Be 0.000 0.000 0.000

Results
Formation energy from raw total energies, eV per atom: 0.064
Total moment, μB per atom: 0.000


[6]
Here is crystalline Tm5GaSe4 at its relaxed geometry from Alexandria via LeMat-Bulk. Energies are from PBE.

a b c (Å): 5.708 7.023 7.023
angles (deg): 80.50 66.03 66.03
Sites, in units of the cell vectors:
Tm 0.904 0.388 0.806
Tm 0.292 0.806 0.612
Tm 0.710 0.194 0.388
Tm 0.098 0.612 0.194
Tm 0.501 0.000 0.000
Ga 0.001 0.000 0.000
Se 0.404 0.400 0.794
Se 0.804 0.794 0.600
Se 0.198 0.206 0.400
Se 0.598 0.600 0.206

Results
Formation energy from raw total energies, eV per atom: -1.514
Total moment, μB per atom: 0.000


[7]
Here is crystalline Hf3CoSb2 at its relaxed geometry from Alexandria via LeMat-Bulk. Energies are from PBE.

a b c (Å): 3.932 10.893 11.467
angles (deg): 90.00 90.00 90.00
Sites, in units of the cell vectors:
Hf 0.250 0.394 0.066
Hf 0.750 0.606 0.934
Hf 0.750 0.894 0.434
Hf 0.250 0.106 0.566
Hf 0.250 0.747 0.260
Hf 0.750 0.253 0.740
Hf 0.750 0.247 0.240
Hf 0.250 0.753 0.760
Hf 0.250 0.465 0.383
Hf 0.750 0.535 0.617
Hf 0.750 0.965 0.117
Hf 0.250 0.035 0.883
Co 0.250 0.135 0.107
Co 0.750 0.865 0.893
Co 0.750 0.635 0.393
Co 0.250 0.365 0.607
Sb 0.250 0.708 0.513
Sb 0.750 0.292 0.487
Sb 0.750 0.208 0.987
Sb 0.250 0.792 0.013
Sb 0.250 0.036 0.308
Sb 0.750 0.964 0.692
Sb 0.750 0.536 0.192
Sb 0.250 0.464 0.808

Results
Formation energy from raw total energies, eV per atom: -0.455
Total moment, μB per atom: 0.000


[8]
Here is crystalline CsLiTl2Bi at its relaxed geometry from Alexandria via LeMat-Bulk. Energies are from PBE.

a b c (Å): 5.700 5.700 5.424
angles (deg): 90.00 90.00 90.00
Sites, in units of the cell vectors:
Cs 0.500 0.500 0.500
Tl 0.000 0.500 0.000
Tl 0.500 0.000 0.000
Bi 0.000 0.000 0.500
Li 0.000 0.000 0.000

Results
Total moment, μB per atom: 0.000
ΔH_f (0 K), eV per atom: -0.11


[9]
Here is crystalline HOsF3 at its relaxed geometry from Alexandria via LeMat-Bulk. Energies are from PBE.

a b c (Å): 3.618 3.618 3.618
angles (deg): 90.00 90.00 90.00
Last column: magnetic moment on the atom in μB.
Sites, in units of the cell vectors:
H 0.000 0.000 0.000  -0.01
Os 0.500 0.500 0.500  3.54
F 0.000 0.500 0.000  0.14
F 0.000 0.000 0.500  0.09
F 0.500 0.000 0.000  0.10

Results
Total moment, μB per atom: 0.825


[10]
Here is crystalline Ac2Sn3Pd5 at its relaxed geometry from Alexandria via LeMat-Bulk. Energies are from PBE.

a b c (Å): 6.378 9.148 9.148
angles (deg): 74.45 69.60 69.60
Sites, in units of the cell vectors:
Ac 0.129 0.604 0.138
Ac 0.629 0.138 0.604
Ac 0.871 0.396 0.862
Ac 0.371 0.862 0.396
Sn 0.355 0.551 0.740
Sn 0.855 0.740 0.551
Sn 0.645 0.449 0.260
Sn 0.145 0.260 0.449
Sn 0.250 0.000 0.000
Sn 0.750 0.000 0.000
Pd 0.397 0.274 0.931
Pd 0.897 0.931 0.274
Pd 0.603 0.726 0.069
Pd 0.103 0.069 0.726
Pd 0.460 0.790 0.790
Pd 0.540 0.210 0.210
Pd 0.750 0.500 0.500
Pd 0.250 0.500 0.500
Pd 0.040 0.210 0.210
Pd 0.960 0.790 0.790

Results
Total moment, μB per atom: 0.000
ΔH_f (0 K), eV per atom: -0.77


[11]
Here is crystalline Nd3Ag at its relaxed geometry from Alexandria via LeMat-Bulk. Energies are from PBE.

a b c (Å): 5.521 5.521 5.521
angles (deg): 60.00 60.00 60.00
Last column: magnetic moment on the atom in μB.
Sites, in units of the cell vectors:
Nd 0.000 0.000 0.000  0.32
Nd 0.750 0.750 0.750  0.18
Nd 0.250 0.250 0.250  0.18
Ag 0.500 0.500 0.500  0.01

Results
Total moment, μB per atom: 0.312
ΔH_f (0 K), eV per atom: 0.10


[12]
Here is crystalline AlZnRh2S at its relaxed geometry from Alexandria via LeMat-Bulk. Energies are from PBE.

a b c (Å): 4.568 4.406 4.568
angles (deg): 90.00 90.00 90.00
Sites, in units of the cell vectors:
Zn 0.500 0.500 0.500
Rh 0.000 0.000 0.500
Rh 0.500 0.000 0.000
S 0.000 0.500 0.000
Al 0.000 0.000 0.000

Results
Formation energy from raw total energies, eV per atom: 0.554
Total moment, μB per atom: 0.000


| no. | DFT total energy (eV per cell) |
| --- | --- |
| 1 | -18.34 |
| 2 | -19.65 |
| 3 | -31.32 |
| 4 | -70.76 |
| 5 | -7.78 |
| 6 | -54.46 |
| 7 | -191.76 |
| 8 | -11.93 |
| 9 | -19.86 |
| 10 | -107.84 |
| 11 | -16.77 |
| 12 | -21.08 |